The following is a DFT calculation (PBE-GGA) of a relaxed TbPm2Tc crystal. Values from VASP.

Structure (Quantum ESPRESSO input):
```
&SYSTEM
  ibrav = 0, nat = 4, ntyp = 3
/
ATOMIC_SPECIES
Tb 158.93 Tb.upf
Pm 145.00 Pm.upf
Tc 98.00 Tc.upf
ATOMIC_POSITIONS crystal
Tb 0.0000 0.0000 0.0000
Pm 0.5000 0.5000 0.3088
Pm 0.5000 0.5000 0.6912
Tc 0.0000 0.0000 0.5000
CELL_PARAMETERS angstrom
3.5270 0.0000 0.0000
0.0000 3.5270 0.0000
0.0000 0.0000 8.9118
```

Results
SG = P4/mmm, No. 123
Offset from the most stable computed form = 0.63 eV/f.u.
Energy relative to the elements = 132 meV/atom
Electronic total energy = -5.992 eV per atom
Total magnetic moment = 0.00 Bohr magnetons per cell